Density functional theory data (PBE+U) for U3Tl2MoO12 after structural relaxation.

Unit cell a=7.700 b=7.700 c=7.700 alpha=61.89 beta=61.89 gamma=61.89
Last column: magnetic moment on the atom in μB.
Positions (direct):
Tl (0.392, 0.392, 0.392)  0.00
Tl (0.608, 0.608, 0.608)  0.00
O (0.068, 0.678, 0.678)  0.00
O (0.678, 0.068, 0.678)  0.00
O (0.942, 0.307, 0.942)  -0.01
O (0.693, 0.058, 0.058)  -0.01
O (0.678, 0.678, 0.068)  0.00
O (0.307, 0.942, 0.942)  -0.01
O (0.322, 0.322, 0.932)  0.00
O (0.058, 0.058, 0.693)  -0.01
O (0.942, 0.942, 0.307)  -0.01
O (0.058, 0.693, 0.058)  -0.01
O (0.932, 0.322, 0.322)  0.00
O (0.322, 0.932, 0.322)  0.00
Mo (0.000, 0.000, 0.000)  1.75
U (0.500, 0.000, 0.000)  0.09
U (0.000, 0.500, 0.000)  0.09
U (0.000, 0.000, 0.500)  0.09

Computed properties:
Electronic total energy = -8.313 eV per atom
Space-group type = R-3m (166)